No. 1
This record from Alexandria describes crystalline La2YTmTe5 at its relaxed geometry. The functional is GGA-PBE.

a = 5.473 Å, b = 5.473 Å, c = 11.515 Å
α = 90.00°, β = 90.00°, γ = 90.00°
Space group P4/mmm (No. 123)
Asymmetric unit:
La (0.000, 0.000, 0.177) [2 per cell]
Y (0.500, 0.500, 0.500) [1 per cell]
Tm (0.500, 0.500, 0.000) [1 per cell]
Te (0.000, 0.000, 0.500) [1 per cell]
Te (0.000, 0.500, 0.000) [2 per cell]
Te (0.500, 0.500, 0.254) [2 per cell]

Calculated values
DFT total energy: -5.04 eV/atom
Total magnetization: 1.05 μB per formula unit

No. 2
This record from Alexandria describes crystalline NiAgTe3 at its relaxed geometry. The functional is GGA-PBE.

a = 7.6261 Å, b = 7.6261 Å, c = 4.7969 Å
α = 90.00°, β = 90.00°, γ = 120.00°
Space group P6_3/mmc (No. 194)
Asymmetric unit:
Ni (0.0000, 0.0000, 0.0000) [2 per cell]
Ag (0.3333, 0.6667, 0.2500) [2 per cell]
Te (0.1774, 0.3548, 0.7500) [6 per cell]

Calculated values
DFT total energy: -3.52 eV/atom
Polymorph energy (0 for the lowest one): 0.00 eV/f.u.
Total magnetization: 0.00 μB per formula unit

No. 3
This record from Alexandria describes crystalline NpGa5Fe at its relaxed geometry. The functional is GGA-PBE.

a = 4.289 Å, b = 4.289 Å, c = 6.678 Å
α = 90.00°, β = 90.00°, γ = 90.00°
Space group P4/mmm (No. 123)
Asymmetric unit:
Np (0.000, 0.000, 0.000) [1 per cell]
Ga (0.000, 0.500, 0.307) [4 per cell]
Ga (0.500, 0.500, 0.000) [1 per cell]
Fe (0.000, 0.000, 0.500) [1 per cell]

Calculated values
DFT total energy: -5.46 eV/atom
Total magnetization: 2.77 μB per formula unit

No. 4
This record from Alexandria describes crystalline LaNd3Er4 at its relaxed geometry. The functional is GGA-PBE.

a = 3.438 Å, b = 11.693 Å, c = 13.260 Å
α = 90.00°, β = 90.00°, γ = 90.00°
Space group Immm (No. 71)
Asymmetric unit:
La (0.000, 0.000, 0.000) [2 per cell]
Nd (0.000, 0.000, 0.500) [2 per cell]
Nd (0.000, 0.500, 0.258) [4 per cell]
Er (0.000, 0.251, 0.135) [8 per cell]

Calculated values
DFT total energy: -4.55 eV/atom
Polymorph energy (0 for the lowest one): 0.86 eV/f.u.
Total magnetization: 0.00 μB per formula unit